1.
# YAs2O6

A relaxed structure of YAs2O6 (GGA-PBE, the Alexandria database).

a = 5.7950 Å, b = 5.7950 Å, c = 6.8482 Å
α = 64.97°, β = 64.97°, γ = 60.00°
Site moments in Bohr magnetons follow the coordinates.
Atoms (fractional coordinates):
O: 0.5271 0.0781 0.7490  0.09
O: 0.9087 0.3500 0.2500  0.09
O: 0.0781 0.6458 0.7490  0.09
O: 0.3500 0.4913 0.2500  0.09
O: 0.6458 0.5271 0.7490  0.09
O: 0.4913 0.9087 0.2500  0.09
Y: 0.3326 0.3326 0.0021  0.00
As: 0.5948 0.5948 0.2156  0.06
As: 0.7372 0.7372 0.7883  0.07

* raw total energy: -6.639 eV per atom
* crystal system: trigonal
* space-group type: No. 146
* size of the total moment: 0.87 μB/cell
* raw formation energy: -1.582 eV/atom

2.
# La2PrTm12

A relaxed structure of La2PrTm12 (GGA-PBE, the Alexandria database).

a = 6.5934 Å, b = 6.5934 Å, c = 24.8752 Å
α = 83.41°, β = 83.41°, γ = 115.08°
Atoms (fractional coordinates):
Tm: 0.6671 0.6638 0.4462
Tm: 0.3362 0.3329 0.5538
Tm: 0.4417 0.4417 0.0763
Tm: 0.9975 0.0004 0.3335
Tm: 0.8329 0.8362 0.5538
Tm: 0.0583 0.0583 0.9237
Tm: 0.4024 0.4029 0.7985
Tm: 0.6752 0.1752 0.4312
Tm: 0.9029 0.9024 0.7985
Tm: 0.9996 0.0025 0.6665
Tm: 0.3200 0.8200 0.5711
Tm: 0.8248 0.3248 0.5688
Tm: 0.1029 0.6029 0.8639
Tm: 0.1638 0.1671 0.4462
Tm: 0.0976 0.0971 0.2015
Tm: 0.5971 0.5976 0.2015
Tm: 0.5583 0.5583 0.9237
Tm: 0.5025 0.4996 0.6665
Tm: 0.1800 0.6800 0.4289
Tm: 0.9417 0.9417 0.0763
Tm: 0.5004 0.4975 0.3335
Tm: 0.6031 0.1031 0.8635
Tm: 0.8969 0.3969 0.1365
Tm: 0.3971 0.8971 0.1361
La: 0.9597 0.4597 0.7256
La: 0.5403 0.0403 0.2744
La: 0.4546 0.9546 0.7251
La: 0.0454 0.5454 0.2749
Pr: 0.5003 0.0003 0.9998
Pr: 0.9997 0.4997 0.0002

* raw total energy: -4.442 eV per atom
* crystal system: monoclinic
* space-group type: No. 12
* size of the total moment: 0.00 μB/cell
* calculated formation energy: 0.111 eV per atom

3.
# Pu4BiSbH

A relaxed structure of Pu4BiSbH (GGA-PBE, the Alexandria database).

a = 6.3035 Å, b = 6.3095 Å, c = 9.3561 Å
α = 90.00°, β = 109.69°, γ = 90.00°
Site moments in Bohr magnetons follow the coordinates.
Atoms (fractional coordinates):
Bi: 0.1112 0.2500 0.2223  -0.03
Bi: 0.8888 0.7500 0.7777  -0.03
Pu: 0.0000 0.5000 0.5000  -5.52
Pu: 0.5000 0.5000 0.5000  -5.52
Pu: 0.9264 0.2500 0.8528  5.47
Pu: 0.0736 0.7500 0.1472  5.47
Pu: 0.5681 0.2500 0.1362  5.44
Pu: 0.0000 0.0000 0.5000  -5.52
Pu: 0.5000 0.0000 0.5000  -5.52
Pu: 0.4319 0.7500 0.8638  5.44
Sb: 0.3855 0.2500 0.7709  -0.03
Sb: 0.6145 0.7500 0.2291  -0.03
H: 0.2991 0.7500 0.5981  0.01
H: 0.7009 0.2500 0.4019  0.01

* raw total energy: -10.190 eV per atom
* crystal system: orthorhombic
* space-group type: No. 63
* size of the total moment: 0.32 μB/cell

4.
# Ca3VZn

A relaxed structure of Ca3VZn (GGA-PBE, the Alexandria database).

a = 5.8020 Å, b = 5.8020 Å, c = 5.8020 Å
α = 90.00°, β = 90.00°, γ = 90.00°
Site moments in Bohr magnetons follow the coordinates.
Atoms (fractional coordinates):
Ca: 0.5000 0.0000 0.0000  0.15
Ca: 0.0000 0.0000 0.5000  0.15
Ca: 0.0000 0.5000 0.0000  0.15
V: 0.0000 0.0000 0.0000  3.23
Zn: 0.5000 0.5000 0.5000  0.00

* raw total energy: -2.555 eV per atom
* crystal system: cubic
* space-group type: No. 221
* size of the total moment: 5.23 μB/cell
* calculated formation energy: 0.724 eV per atom

5.
# RbHfNb3

A relaxed structure of RbHfNb3 (GGA-PBE, the Alexandria database).

a = 5.1634 Å, b = 5.1634 Å, c = 5.1634 Å
α = 90.00°, β = 90.00°, γ = 90.00°
Atoms (fractional coordinates):
Hf: 0.0000 0.0000 0.0000
Rb: 0.5000 0.5000 0.5000
Nb: 0.5000 0.0000 0.0000
Nb: 0.0000 0.0000 0.5000
Nb: 0.0000 0.5000 0.0000

* raw total energy: -6.404 eV per atom
* crystal system: cubic
* space-group type: No. 221
* size of the total moment: 0.00 μB/cell
* calculated formation energy: 1.822 eV per atom

6.
# Y2MgRu

A relaxed structure of Y2MgRu (GGA-PBE, the Alexandria database).

a = 8.2548 Å, b = 8.2548 Å, c = 6.5932 Å
α = 51.24°, β = 51.24°, γ = 90.00°
Atoms (fractional coordinates):
Y: 0.6942 0.1250 0.2500
Y: 0.8750 0.9442 0.7500
Y: 0.0558 0.6250 0.2500
Y: 0.3750 0.3058 0.7500
Ru: 0.7500 0.2500 0.5000
Ru: 0.0000 0.0000 0.0000
Mg: 0.5000 0.5000 0.0000
Mg: 0.2500 0.7500 0.5000

* raw total energy: -5.841 eV per atom
* crystal system: tetragonal
* space-group type: No. 122
* size of the total moment: 0.00 μB/cell
* calculated formation energy: 0.108 eV per atom